Ac2LaPr4Dy (GGA-PBE, relaxed); D(E_F) = 14.1 states/eV/cell; E = -4.573 eV/atom; E_form = 0.0351 eV/atom
1.0
-2.973 -0.848 -2.193
-6.151 -4.237 9.975
-2.998 5.468 1.950
La Pr Ac Dy
1 4 2 1
Direct
0.500 0.500 0.000 La
0.000 0.744 0.752 Pr
0.500 0.742 0.254 Pr
0.000 0.256 0.248 Pr
0.500 0.258 0.746 Pr
0.500 0.000 0.500 Ac
0.000 0.000 0.000 Ac
0.000 0.500 0.500 Dy

***

AcLa2PrDy (GGA-PBE, relaxed); D(E_F) = 15.2 states/eV/cell; E = -4.318 eV/atom; E_form = 0.3513 eV/atom
1.0
-1.206 -3.659 5.378
-4.692 -3.354 -3.335
8.410 -4.190 -0.964
La Ac Dy Pr
4 2 2 2
Direct
0.500 0.243 0.000 La
0.000 0.757 0.000 La
0.000 0.243 0.000 La
0.500 0.757 0.000 La
0.750 0.342 0.684 Ac
0.250 0.658 0.316 Ac
0.250 0.238 0.476 Dy
0.750 0.762 0.524 Dy
0.750 0.155 0.310 Pr
0.250 0.845 0.690 Pr

***

Ac5LaPr2Dy (GGA-PBE, relaxed); D(E_F) = 31.5 states/eV/cell; E = -4.128 eV/atom; E_form = 0.2750 eV/atom
1.0
8.464 0.000 0.000
0.000 8.464 0.000
-4.232 -4.232 10.563
Pr Ac La Dy
4 10 2 2
Direct
0.877 0.623 0.000 Pr
0.377 0.877 0.000 Pr
0.623 0.123 0.000 Pr
0.123 0.377 0.000 Pr
0.585 0.646 0.731 Ac
0.354 0.854 0.269 Ac
0.500 0.500 0.000 Ac
0.854 0.915 0.269 Ac
0.146 0.085 0.731 Ac
0.646 0.146 0.731 Ac
0.915 0.415 0.269 Ac
0.415 0.354 0.269 Ac
0.085 0.585 0.731 Ac
0.000 0.000 0.000 Ac
0.250 0.250 0.500 La
0.750 0.750 0.500 La
0.250 0.750 0.500 Dy
0.750 0.250 0.500 Dy

***

AcLaPr5Dy2 (GGA-PBE, relaxed); D(E_F) = 22.0 states/eV/cell; E = -4.545 eV/atom; E_form = 0.1374 eV/atom
1.0
5.712 0.000 0.000
-2.856 12.161 0.000
0.000 0.000 9.677
Pr Ac Dy La
10 2 4 2
Direct
0.525 0.050 0.253 Pr
0.475 0.950 0.753 Pr
0.687 0.375 0.231 Pr
0.396 0.793 0.035 Pr
0.313 0.625 0.731 Pr
0.260 0.519 0.352 Pr
0.740 0.481 0.852 Pr
0.005 0.011 0.532 Pr
0.604 0.207 0.535 Pr
0.995 0.989 0.032 Pr
0.397 0.794 0.425 Ac
0.603 0.206 0.925 Ac
0.829 0.658 0.168 Dy
0.171 0.342 0.668 Dy
0.112 0.224 0.295 Dy
0.888 0.776 0.795 Dy
0.231 0.463 0.034 La
0.769 0.537 0.534 La

***

AcLa5PrDy2 (GGA-PBE, relaxed); D(E_F) = 33.4 states/eV/cell; E = -4.514 eV/atom; E_form = 0.2334 eV/atom
1.0
-3.097 -6.597 -5.586
-0.239 -5.866 7.060
-5.769 8.406 0.818
Dy Pr Ac La
4 2 2 10
Direct
0.616 0.116 0.000 Dy
0.384 0.884 0.000 Dy
0.884 0.616 0.000 Dy
0.116 0.384 0.000 Dy
0.750 0.250 0.500 Pr
0.250 0.750 0.500 Pr
0.250 0.250 0.500 Ac
0.750 0.750 0.500 Ac
0.677 0.177 0.739 La
0.562 0.677 0.739 La
0.177 0.062 0.739 La
0.823 0.938 0.261 La
0.938 0.438 0.261 La
0.500 0.500 0.000 La
0.062 0.562 0.739 La
0.438 0.323 0.261 La
0.000 0.000 0.000 La
0.323 0.823 0.261 La

***

Ac2LaPr4Dy2 (GGA-PBE, relaxed); D(E_F) = 15.9 states/eV/cell; E = -4.572 eV/atom; E_form = 0.0352 eV/atom
1.0
3.765 0.000 0.000
-1.882 9.561 1.594
0.000 -1.633 9.035
Pr La Ac Dy
4 1 2 2
Direct
0.220 0.441 0.328 Pr
0.442 0.884 0.676 Pr
0.780 0.559 0.672 Pr
0.558 0.116 0.324 Pr
0.000 0.000 0.000 La
0.111 0.223 0.670 Ac
0.889 0.777 0.330 Ac
0.330 0.660 0.998 Dy
0.670 0.340 0.002 Dy

***

Ac2La2Pr4Dy (GGA-PBE, relaxed); D(E_F) = 13.0 states/eV/cell; E = -4.619 eV/atom; E_form = 0.0244 eV/atom
1.0
3.812 0.000 0.000
-1.906 9.785 -0.486
0.000 -3.933 9.348
Pr Dy La Ac
4 1 2 2
Direct
0.815 0.630 0.668 Pr
0.482 0.963 0.683 Pr
0.518 0.037 0.317 Pr
0.185 0.370 0.332 Pr
0.000 0.000 0.000 Dy
0.336 0.672 0.998 La
0.664 0.328 0.002 La
0.856 0.711 0.335 Ac
0.144 0.289 0.665 Ac

***

AcLaPr3Dy (GGA-PBE, relaxed); D(E_F) = 17.2 states/eV/cell; E = -4.499 eV/atom; E_form = 0.1634 eV/atom
1.0
-1.197 5.250 2.573
-9.490 -5.448 -0.218
1.629 -2.761 6.393
Pr La Ac Dy
6 2 2 2
Direct
0.484 0.968 0.254 Pr
0.162 0.325 0.745 Pr
0.516 0.032 0.746 Pr
0.782 0.564 0.726 Pr
0.218 0.436 0.274 Pr
0.838 0.675 0.255 Pr
0.945 0.890 0.723 La
0.055 0.110 0.277 La
0.649 0.297 0.033 Ac
0.351 0.703 0.967 Ac
0.357 0.713 0.509 Dy
0.643 0.287 0.491 Dy